# ReAgTe4 GGA-PBE relaxed
# Formation energy from raw total energies, eV per formula unit: 0.2
# Excess energy over the best structure of this formula in the dataset, meV/atom: 0
# Total DFT energy (no corrections), eV per atom: -4.612
# Fermi-level density of states, states/eV/f.u.: 1.570
data_ReAgTe4
_chemical_formula_sum 'Re2 Ag2 Te8'
_symmetry_space_group_name_H-M 'P 1'
_symmetry_Int_Tables_number 1
_cell_length_a 6.3012
_cell_length_b 6.8383
_cell_length_c 8.9973
_cell_angle_alpha 70.72
_cell_angle_beta 70.81
_cell_angle_gamma 69.48
loop_
_symmetry_equiv_pos_as_xyz
'x,y,z'
loop_
_atom_site_label
_atom_site_type_symbol
_atom_site_fract_x
_atom_site_fract_y
_atom_site_fract_z
Re1 Re 0.1796 0.4076 0.0830
Re2 Re 0.8204 0.5924 0.9170
Ag1 Ag 0.2953 0.0057 0.6314
Ag2 Ag 0.7047 0.9943 0.3686
Te1 Te 0.1724 0.0027 0.2398
Te2 Te 0.2460 0.3955 0.7847
Te3 Te 0.3155 0.3759 0.3637
Te4 Te 0.3344 0.7718 0.9742
Te5 Te 0.6656 0.2282 0.0258
Te6 Te 0.6845 0.6241 0.6363
Te7 Te 0.7540 0.6045 0.2153
Te8 Te 0.8276 0.9973 0.7602